A relaxed structure of KIn2Hg. Source: Alexandria, functional PBEsol.

As for the energy of formation from the pure elements: -0.111 eV per atom. The total energy is -16.22 eV/cell.

abc: 5.0692 5.2601 8.5132
angles: 90.00 90.00 90.00
Closest atoms and distances in Å follow each position.
Space group Cmm2 (No. 35)
Asymmetric unit:
K: 0.0000 0.0000 0.0000  4 Hg 3.43-3.50, 4 In 3.64-3.71, 4 K 3.65
In: 0.0000 0.0000 0.4800  4 Hg 3.09-3.17, 4 In 3.12-3.20
In: 0.0000 0.5000 0.6932  4 In 3.12-3.20
Hg: 0.0000 0.5000 0.2721  4 In 3.09-3.17, 2 K 3.43

---

A relaxed structure of K2InHg. Source: Alexandria, functional PBEsol.

The energy above the most stable polymorph in this dataset is 0 meV per atom. As for the energy of formation from the pure elements: -0.111 eV per atom. The total energy is -12.52 eV/cell.

abc: 4.9953 4.9069 12.5611
angles: 90.00 90.00 90.00
Closest atoms and distances in Å follow each position.
Space group Amm2 (No. 38)
Asymmetric unit:
K: 0.0000 0.0000 0.0000  3 Hg 3.57-3.69, 4 In 3.73
K: 0.5000 0.0000 0.3086  3 In 3.56-3.70, 4 Hg 3.73
In: 0.5000 0.0000 0.6028  2 Hg 2.82
Hg: 0.0000 0.0000 0.7064  2 In 2.82

---

How do the records compare in DOS(E_F)? In the order shown, they have 1.7; 2.2 states/eV/f.u..